# 1
# Th2SiGe | the Alexandria database | GGA-PBE | relaxed
# Formation energy (no corrections) (eV per atom): -0.743
# Total magnetization (μB per formula unit): 0.000
# Offset from the most stable computed form (meV per atom): 0
data_Th2SiGe
_cell_length_a 6.0520
_cell_length_b 6.0509
_cell_length_c 13.5713
_cell_angle_alpha 90.00
_cell_angle_beta 116.47
_cell_angle_gamma 90.00
_symmetry_space_group_name_H-M 'P 1 2/c 1'
_symmetry_Int_Tables_number 13
loop_
_symmetry_equiv_pos_as_xyz
'x,y,z'
'-x,-y,-z'
'-x,y,-z+1/2'
'x,-y,z+1/2'
loop_
_atom_site_label
_atom_site_type_symbol
_atom_site_fract_x
_atom_site_fract_y
_atom_site_fract_z
Th1 Th 0.1240 0.2491 0.1235
Th2 Th 0.3745 0.2514 0.8735
Si1 Si 0.1238 0.2510 0.6249
Ge1 Ge 0.3753 0.2489 0.3750

***

# 2
# LaNp2MoN4 | the Alexandria database | GGA-PBE | relaxed
# Formation energy (no corrections) (eV per atom): -0.953
# Total magnetization (μB per formula unit): 4.976
data_LaNp2MoN4
_cell_length_a 3.3910
_cell_length_b 11.9453
_cell_length_c 11.5967
_cell_angle_alpha 90.00
_cell_angle_beta 90.00
_cell_angle_gamma 90.00
_symmetry_space_group_name_H-M 'C m c m'
_symmetry_Int_Tables_number 63
_symmetry_space_group_name_Hall '-C 2c 2'
loop_
_atom_site_label
_atom_site_type_symbol
_atom_site_fract_x
_atom_site_fract_y
_atom_site_fract_z
La1 La 0.0000 0.1098 0.2500
Np1 Np 0.0000 0.3688 0.0477
Mo1 Mo 0.0000 0.1521 0.7500
N1 N 0.0000 0.0000 0.0000
N2 N 0.0000 0.2663 0.6138
N3 N 0.0000 0.4539 0.2500

***

# 3
# KBeTl2Hg | the Alexandria database | GGA-PBE | relaxed
# Total magnetization (μB per formula unit): 0.000
# Formation energy (eV per atom): 0.1243
data_KBeTl2Hg
_cell_length_a 5.1906
_cell_length_b 5.1906
_cell_length_c 5.1229
_cell_angle_alpha 90.00
_cell_angle_beta 90.00
_cell_angle_gamma 90.00
_symmetry_space_group_name_H-M 'P 4/m m m'
_symmetry_Int_Tables_number 123
_symmetry_space_group_name_Hall '-P 4 2'
loop_
_atom_site_label
_atom_site_type_symbol
_atom_site_fract_x
_atom_site_fract_y
_atom_site_fract_z
K1 K 0.0000 0.0000 0.0000
Be1 Be 0.5000 0.5000 0.5000
Tl1 Tl 0.0000 0.5000 0.5000
Hg1 Hg 0.5000 0.5000 0.0000